PBE with a Hubbard U DyCr2SiO6, relaxed; energy = -7.7743 eV/atom; space group = P1
1.0
5.475 0.000 0.000
1.770 5.612 0.000
2.606 -0.009 6.102
Dy Cr Si O
1 2 1 6
direct
0.000 0.000 0.000 Dy
0.318 0.443 0.983 Cr
0.670 0.057 0.608 Cr
0.730 0.626 0.942 Si
0.324 0.184 0.810 O
0.390 0.743 0.046 O
0.746 0.355 0.879 O
0.787 0.122 0.324 O
0.863 0.818 0.751 O
0.908 0.622 0.092 O